Below is crystalline Hf3GePb at its relaxed geometry, with properties calculated at the GGA-PBE level.

Unit cell a=5.301 b=5.301 c=5.301 alpha=90.00 beta=90.00 gamma=90.00
Element x y z (fractional)
Hf: 0.000 0.000 0.500
Hf: 0.000 0.500 0.000
Hf: 0.500 0.000 0.000
Ge: 0.500 0.500 0.500
Pb: 0.000 0.000 0.000

Computed properties:
Formation enthalpy at 0 K ... 7.1 eV/f.u.
Space group ... Pm-3m, No. 221
M_tot ... 0.00 μB/f.u.
Calculated volume ... 29.80 Å³ per atom
DOS(E_F) ... 7.791 states/eV/cell
Crystal system ... cubic



Below is crystalline Pm4PrSc5 at its relaxed geometry, with properties calculated at the GGA-PBE level.

Unit cell a=5.882 b=7.739 c=7.739 alpha=81.70 beta=67.67 gamma=67.67
Element x y z (fractional)
Sc: 0.110 0.620 0.000
Sc: 0.110 0.000 0.620
Sc: 0.680 0.000 0.000
Sc: 0.730 0.380 0.000
Sc: 0.730 0.000 0.380
Pm: 0.487 0.325 0.675
Pm: 0.487 0.675 0.325
Pm: 0.812 0.675 0.675
Pm: 0.163 0.325 0.325
Pr: 0.202 0.000 0.000

Computed properties:
Formation enthalpy at 0 K ... 2.4 eV/f.u.
Space group ... I4mm, No. 107
M_tot ... 0.00 μB/f.u.
Calculated volume ... 30.14 Å³ per atom
DOS(E_F) ... 13.799 states/eV/cell
Crystal system ... tetragonal



Q: Look up the M_tot of the first one.
A: 0.00 μB/f.u.



Q: Look up the calculated volume of the first one.
A: 29.80 Å³ per atom



Copy entry 2 word for word.
Below is crystalline Pm4PrSc5 at its relaxed geometry, with properties calculated at the GGA-PBE level.

Unit cell a=5.882 b=7.739 c=7.739 alpha=81.70 beta=67.67 gamma=67.67
Element x y z (fractional)
Sc: 0.110 0.620 0.000
Sc: 0.110 0.000 0.620
Sc: 0.680 0.000 0.000
Sc: 0.730 0.380 0.000
Sc: 0.730 0.000 0.380
Pm: 0.487 0.325 0.675
Pm: 0.487 0.675 0.325
Pm: 0.812 0.675 0.675
Pm: 0.163 0.325 0.325
Pr: 0.202 0.000 0.000

Computed properties:
Formation enthalpy at 0 K ... 2.4 eV/f.u.
Space group ... I4mm, No. 107
M_tot ... 0.00 μB/f.u.
Calculated volume ... 30.14 Å³ per atom
DOS(E_F) ... 13.799 states/eV/cell
Crystal system ... tetragonal



Q: What is the formula in the first record?
A: Hf3GePb